DFT (PBE) results for a relaxed structure of NaCaPr.

Cell lengths 4.345, 4.345, 12.526 Å; angles 90.00, 90.00, 90.00 degrees
Space group P4/nmm (No. 129, origin choice 2)
Asymmetric unit:
Na (0.250, 0.750, 0.000) (multiplicity 2)
Ca (0.250, 0.250, 0.255) (multiplicity 2)
Pr (0.250, 0.250, 0.564) (multiplicity 2)

Formation energy from the elements = 0.18 eV/atom
Total magnetic moment = 0.00 μB per formula unit

***

DFT (PBE) results for a relaxed structure of K2NaBr3.

Cell lengths 4.520, 6.538, 13.821 Å; angles 90.00, 90.00, 90.00 degrees
Space group Immm (No. 71)
Asymmetric unit:
K (0.000, 0.000, 0.170) (multiplicity 4)
Na (0.000, 0.000, 0.500) (multiplicity 2)
Br (0.000, 0.500, 0.151) (multiplicity 4)
Br (0.000, 0.500, 0.500) (multiplicity 2)

Uncorrected formation energy = -1.669 eV per atom
Total magnetic moment = 0.00 μB per formula unit

***

DFT (PBE) results for a relaxed structure of Na2LiDyCl6.

Cell lengths 6.9085, 6.9085, 18.4001 Å; angles 90.00, 90.00, 120.00 degrees
Space group R3 (No. 146, hexagonal axes)
Asymmetric unit:
Na (0.0000, 0.0000, 0.0000) (multiplicity 3)
Na (0.0000, 0.0000, 0.4944) (multiplicity 3)
Li (0.0000, 0.0000, 0.2092) (multiplicity 3)
Dy (0.0000, 0.0000, 0.6973) (multiplicity 3)
Cl (0.0473, 0.3436, 0.7733) (multiplicity 9)
Cl (0.0474, 0.7005, 0.2733) (multiplicity 9)

Uncorrected formation energy = -1.994 eV per atom
Total magnetic moment = 0.00 μB per formula unit

***

DFT (PBE) results for a relaxed structure of Al3FePt12.

Cell lengths 3.929, 3.929, 15.621 Å; angles 90.00, 90.00, 90.00 degrees
Space group P4/mmm (No. 123)
Asymmetric unit:
Al (0.000, 0.000, 0.000) (multiplicity 1)
Al (0.000, 0.000, 0.250) (multiplicity 2)
Fe (0.000, 0.000, 0.500) (multiplicity 1)
Pt (0.000, 0.500, 0.125) (multiplicity 4)
Pt (0.000, 0.500, 0.376) (multiplicity 4)
Pt (0.500, 0.500, 0.000) (multiplicity 1)
Pt (0.500, 0.500, 0.250) (multiplicity 2)
Pt (0.500, 0.500, 0.500) (multiplicity 1)

Formation energy from the elements = -0.58 eV/atom
Total magnetic moment = 4.73 μB per formula unit

***

DFT (PBE) results for a relaxed structure of Ac2Tl5Pb.

Cell lengths 7.214, 14.253, 4.930 Å; angles 90.00, 90.00, 90.00 degrees
Space group Pbam (No. 55)
Asymmetric unit:
Ac (0.244, 0.124, 0.000) (multiplicity 4)
Tl (0.000, 0.500, 0.500) (multiplicity 2)
Tl (0.010, 0.750, 0.500) (multiplicity 4)
Tl (0.243, 0.373, 0.000) (multiplicity 4)
Pb (0.000, 0.000, 0.500) (multiplicity 2)

Formation energy from the elements = -0.33 eV/atom
Total magnetic moment = 0.00 μB per formula unit

***

DFT (PBE) results for a relaxed structure of LaPb2W.

Cell lengths 3.4281, 3.4281, 30.1199 Å; angles 90.00, 90.00, 120.00 degrees
Space group R-3m (No. 166, hexagonal axes)
Asymmetric unit:
La (0.0000, 0.0000, 0.0000) (multiplicity 3)
Pb (0.0000, 0.0000, 0.2379) (multiplicity 6)
W (0.0000, 0.0000, 0.5000) (multiplicity 3)

Formation energy from the elements = 0.50 eV/atom
Total magnetic moment = 0.00 μB per formula unit

***

DFT (PBE) results for a relaxed structure of CsVHg2Cl8.

Cell lengths 6.670, 7.286, 8.297 Å; angles 89.72, 86.69, 85.45 degrees
Space group P-1 (No. 2)
Asymmetric unit:
Cs (0.000, 0.000, 0.000) (multiplicity 1)
V (0.000, 0.500, 0.500) (multiplicity 1)
Hg (0.483, 0.525, 0.238) (multiplicity 2)
Cl (0.120, 0.608, 0.743) (multiplicity 2)
Cl (0.126, 0.750, 0.362) (multiplicity 2)
Cl (0.321, 0.318, 0.442) (multiplicity 2)
Cl (0.460, 0.250, 0.977) (multiplicity 2)

Uncorrected formation energy = -1.052 eV per atom
Total magnetic moment = 2.00 μB per formula unit

***

DFT (PBE) results for a relaxed structure of GeBiI2O.

Cell lengths 6.271, 6.271, 4.290 Å; angles 90.00, 90.00, 90.00 degrees
Space group P4/mmm (No. 123)
Asymmetric unit:
Ge (0.000, 0.000, 0.000) (multiplicity 1)
Bi (0.500, 0.500, 0.500) (multiplicity 1)
I (0.000, 0.500, 0.500) (multiplicity 2)
O (0.500, 0.500, 0.000) (multiplicity 1)

Uncorrected formation energy = 0.067 eV per atom
Total magnetic moment = 0.85 μB per formula unit

***

DFT (PBE) results for a relaxed structure of Cr2Fe.

Cell lengths 5.361, 5.361, 5.361 Å; angles 90.00, 90.00, 90.00 degrees
Space group Pa-3 (No. 205)
Asymmetric unit:
Cr (0.127, 0.127, 0.127) (multiplicity 8)
Fe (0.000, 0.000, 0.500) (multiplicity 4)

Formation energy from the elements = 0.87 eV/atom
Total magnetic moment = 0.00 μB per formula unit

***

DFT (PBE) results for a relaxed structure of Ac4InAg2Au.

Cell lengths 5.6384, 5.6384, 27.5699 Å; angles 90.00, 90.00, 120.00 degrees
Space group R-3m (No. 166, hexagonal axes)
Asymmetric unit:
Ac (0.0000, 0.0000, 0.1196) (multiplicity 6)
Ac (0.0000, 0.0000, 0.3708) (multiplicity 6)
In (0.0000, 0.0000, 0.5000) (multiplicity 3)
Ag (0.0000, 0.0000, 0.2439) (multiplicity 6)
Au (0.0000, 0.0000, 0.0000) (multiplicity 3)

Formation energy from the elements = -0.44 eV/atom
Total magnetic moment = 0.00 μB per formula unit

***

DFT (PBE) results for a relaxed structure of Cu4SbRu.

Cell lengths 6.932, 6.932, 6.932 Å; angles 90.00, 90.00, 90.00 degrees
Space group F-43m (No. 216)
Asymmetric unit:
Cu (0.124, 0.124, 0.124) (multiplicity 16)
Sb (0.000, 0.000, 0.500) (multiplicity 4)
Ru (0.250, 0.250, 0.750) (multiplicity 4)

Uncorrected formation energy = 0.224 eV per atom
Total magnetic moment = 0.00 μB per formula unit

***

DFT (PBE) results for a relaxed structure of Re2PdPt.

Cell lengths 6.266, 6.266, 6.266 Å; angles 90.00, 90.00, 90.00 degrees
Space group Fm-3m (No. 225)
Asymmetric unit:
Re (0.250, 0.250, 0.250) (multiplicity 8)
Pd (0.000, 0.000, 0.000) (multiplicity 4)
Pt (0.000, 0.000, 0.500) (multiplicity 4)

Formation energy from the elements = 0.58 eV/atom
Total magnetic moment = 0.00 μB per formula unit

***

Let's list D(E_F) in order: 6.5 0.0 0.0 13.3 7.7 11.2 2.1 2.9 9.9 16.5 28.3 24.4 states/eV per cell.